(1)
The following is a DFT calculation (PBE-GGA) of an optimized crystal structure of AsAu2Cl.

Output
Fermi-level density of states = 2.1 states/eV/f.u.
mass density = 10.31 g/cm3
E_tot = -2.87 eV per atom

```
AsAu2Cl
1.0
-3.600 4.831 0.158
-4.931 0.819 -3.367
2.736 -4.028 3.551
As Au Cl
1 2 1
Cartesian
-2.564 1.814 1.052
0.000 0.000 0.000
-4.265 2.825 -1.605
-3.230 -0.192 -0.710
```

=====

(2)
The following is a DFT calculation (PBE-GGA) of an optimized crystal structure of As2AuCl.

Output
Fermi-level density of states = 1.8 states/eV/f.u.
mass density = 7.79 g/cm3
E_tot = -3.28 eV per atom

```
As2AuCl
1.0
-0.464 0.178 2.948
-5.817 -0.794 -0.869
0.566 -4.544 0.364
As Au Cl
2 1 1
Cartesian
-3.141 -0.308 1.040
0.000 0.000 0.000
0.051 -2.183 1.656
-2.625 -2.669 -0.252
```

=====

(3)
The following is a DFT calculation (PBE-GGA) of an optimized crystal structure of AsAuCl2.

Output
Fermi-level density of states = 1.9 states/eV/f.u.
mass density = 7.02 g/cm3
E_tot = -2.43 eV per atom

```
AsAuCl2
1.0
-1.630 -2.438 0.851
3.096 -2.388 -0.910
2.293 0.622 6.171
Au Cl As
1 2 1
Cartesian
2.453 -1.946 4.599
1.126 0.305 3.031
0.020 0.006 0.055
1.306 -2.257 1.514
```

=====

(4)
The following is a DFT calculation (PBE-GGA) of an optimized crystal structure of AsAuCl2.

Output
mass density = 5.67 g/cm3
E_tot = -3.18 eV per atom

```
AsAuCl2
1.0
8.537 0.019 0.011
7.706 3.673 0.011
7.706 1.752 3.229
Au As Cl
1 1 2
Cartesian
18.213 4.140 2.473
11.683 2.656 1.586
0.745 0.169 0.101
5.282 1.201 0.717
```

=====

(5)
The following is a DFT calculation (PBE-GGA) of an optimized crystal structure of As2AuCl.

Output
Fermi-level density of states = 1.4 states/eV/f.u.
mass density = 6.85 g/cm3
E_tot = -3.64 eV per atom

```
As2AuCl
1.0
7.428 0.027 0.053
6.474 3.642 0.053
2.175 0.574 3.462
Cl As Au
1 2 1
Cartesian
4.284 1.131 0.105
0.405 0.107 0.294
10.986 2.900 2.880
8.441 2.228 2.075
```

=====

(6)
The following is a DFT calculation (PBE-GGA) of an optimized crystal structure of As2AuCl.

Output
Fermi-level density of states = 1.0 states/eV/f.u.
mass density = 6.84 g/cm3
E_tot = -3.58 eV per atom

```
As2AuCl
1.0
6.813 0.042 0.014
4.576 5.048 -0.014
-5.546 -2.876 2.717
As Au Cl
2 1 1
Cartesian
11.164 4.990 0.000
4.395 0.264 1.366
5.368 2.399 0.000
1.998 2.195 1.352
```

=====

(7)
The following is a DFT calculation (PBE-GGA) of an optimized crystal structure of AsAu2Cl.

Output
Fermi-level density of states = 1.4 states/eV/f.u.
mass density = 10.64 g/cm3
E_tot = -3.04 eV per atom

```
AsAu2Cl
1.0
3.155 0.000 0.000
0.000 3.349 0.000
0.000 0.000 7.446
Au As Cl
2 1 1
Cartesian
0.000 0.000 3.920
0.000 0.000 7.249
1.577 1.675 5.584
1.577 1.675 1.861
```

=====

(8)
The following is a DFT calculation (PBE-GGA) of an optimized crystal structure of As4AuCl.

Output
Fermi-level density of states = 3.3 states/eV/f.u.
mass density = 6.40 g/cm3
E_tot = -3.60 eV per atom

```
As4AuCl
1.0
-3.994 -2.520 -3.369
-5.547 -0.150 1.693
-3.956 3.246 -2.733
Au As Cl
1 4 1
Cartesian
-10.122 0.431 -3.307
-4.833 0.206 -1.579
-7.100 -1.225 -3.492
-7.078 2.048 -3.131
-7.981 0.121 -0.618
0.000 0.000 0.000
```